(1)
Entry from the Alexandria database: a relaxed structure of BaZrAg2S4 (PBE).

Output
- total moment (μB per cell) = 0.00
- formation energy without anion corrections (eV/f.u.) = -8.885

Geometry as POSCAR:
```
BaZrAg2S4
1.0
-1.066 -6.520 0.501
4.115 -4.250 -2.742
1.895 -3.267 5.315
S Ag Zr Ba
4 2 1 1
Cartesian
1.162 -8.951 -0.106
4.549 -5.425 0.397
1.035 -4.698 2.376
3.142 -8.999 3.481
2.086 -6.847 2.939
2.859 -7.189 0.134
3.005 -3.759 1.286
0.000 0.000 0.000
```


(2)
Entry from the Alexandria database: a relaxed structure of Ba2ZrAg2S6 (PBE).

Output
- total moment (μB per cell) = 0.00
- DOS(E_F) (states/eV per cell) = 8.85
- formation energy without anion corrections (eV/f.u.) = -11.006

Geometry as POSCAR:
```
Ba2ZrAg2S6
1.0
-3.226 6.421 -1.748
-2.614 1.085 -6.833
-7.644 0.131 -1.057
Ag S Zr Ba
2 6 1 2
Cartesian
-5.322 4.410 -5.269
-8.163 3.227 -4.370
-7.006 1.870 -2.806
-8.457 2.473 -6.599
-6.479 5.767 -6.832
-8.797 5.434 -3.777
-5.028 5.165 -3.040
-4.688 2.203 -5.862
0.000 0.000 0.000
-3.841 1.714 -2.261
-9.644 5.924 -7.378
```


(3)
Entry from the Alexandria database: a relaxed structure of BaAgSb (PBE).

Output
- total moment (μB per cell) = 0.00
- DOS(E_F) (states/eV per cell) = 0.01
- formation energy without anion corrections (eV/f.u.) = -2.224

Geometry as POSCAR:
```
BaAgSb
1.0
-5.173 -4.673 -5.844
2.152 -3.332 2.756
-2.924 1.146 3.669
Ag Ba Sb
2 2 2
Cartesian
-4.924 -3.606 -2.717
-1.068 -2.391 -0.024
-4.376 -3.731 0.938
-0.519 -2.515 3.633
-7.312 -3.998 -1.319
-0.920 -5.017 0.917
```